! CaNdSn (PBE, optimized geometry); values from VASP
&SYSTEM
  ibrav = 0, nat = 6, ntyp = 3
/
ATOMIC_SPECIES
Ca 40.08 Ca.upf
Nd 144.24 Nd.upf
Sn 118.71 Sn.upf
CELL_PARAMETERS angstrom
-3.487 -1.837 2.451
3.002 -3.760 -2.941
4.501 1.078 7.203
ATOMIC_POSITIONS angstrom
Ca 0.764 -3.503 2.853
Ca 3.252 -1.016 3.860
Nd 2.701 -1.016 7.471
Nd 1.315 -3.503 -0.758
Sn 2.763 -3.705 5.543
Sn 1.253 -0.814 1.170
! - Space group: C2/m

=====

! Tl2InHgRh (PBE, optimized geometry); values from VASP
&SYSTEM
  ibrav = 0, nat = 5, ntyp = 4
/
ATOMIC_SPECIES
Tl 204.38 Tl.upf
In 114.82 In.upf
Hg 200.59 Hg.upf
Rh 102.91 Rh.upf
CELL_PARAMETERS angstrom
5.305 0.000 0.000
0.000 5.305 0.000
0.000 0.000 5.201
ATOMIC_POSITIONS angstrom
Tl 0.000 2.652 0.000
Tl 2.652 0.000 0.000
In 0.000 0.000 2.601
Hg 2.652 2.652 2.601
Rh 0.000 0.000 0.000
! - Space group: P4/mmm

=====

E / eV/cell: -24.37 -15.49
M_tot / Bohr magnetons per cell: 0.000 0.000
Formation energy / eV per atom: -0.472 -0.072